Here is a relaxed structure of CdIn3Hg5 from the Alexandria database. Energies are from PBE-GGA.

abc: 10.1368 10.1368 10.1368
angles: 136.10 136.10 63.83
With the nearest neighbours (Å) after each atom.
Element x y z (fractional)
Cd1 0.2500 0.7500 0.5000  4 Hg 2.91
Cd2 0.7500 0.2500 0.5000  4 Hg 2.91
In1 0.1352 0.6352 0.7703  1 In 2.90, 4 Hg 2.95-2.96
In2 0.2500 0.2500 0.0000  8 Hg 3.31
In3 0.3648 0.1352 0.5000  1 In 2.90, 4 Hg 2.95-2.96
In4 0.6352 0.8648 0.5000  1 In 2.90, 4 Hg 2.95-2.96
In5 0.7500 0.7500 0.0000  8 Hg 3.31
In6 0.8648 0.3648 0.2297  1 In 2.90, 4 Hg 2.95-2.96
Hg1 0.0000 0.0000 0.0000  4 In 2.95
Hg2 0.0660 0.1525 0.5000  1 Cd 2.91, 1 In 2.96
Hg3 0.1525 0.6525 0.0865  1 Cd 2.91, 1 In 2.96
Hg4 0.3475 0.4340 0.5000  1 Cd 2.91, 1 In 2.96
Hg5 0.4340 0.9340 0.0865  1 Cd 2.91, 1 In 2.96
Hg6 0.5000 0.5000 0.0000  4 In 2.95
Hg7 0.5660 0.0660 0.9135  1 Cd 2.91, 1 In 2.96
Hg8 0.6525 0.5660 0.5000  1 Cd 2.91, 1 In 2.96
Hg9 0.8475 0.3475 0.9135  1 Cd 2.91, 1 In 2.96
Hg10 0.9340 0.8475 0.5000  1 Cd 2.91, 1 In 2.96

Calculated values
Uncorrected energy, eV/atom: -1.1351
Energy of formation from the pure elements, eV/atom: 0.047
Space-group type: I4/mcm (140)
Offset from the most stable computed form, meV/atom: 31.5
Crystal system: tetragonal

***

Here is a relaxed structure of Cd3In5Hg2 from the Alexandria database. Energies are from PBE-GGA.

abc: 9.6051 9.6051 9.5540
angles: 105.45 105.45 37.83
With the nearest neighbours (Å) after each atom.
Element x y z (fractional)
Cd1 0.0963 0.0963 0.2877  5 In 3.06-3.41, 3 Hg 3.11-3.28, 2 Cd 3.22
Cd2 0.2504 0.7496 0.0000  6 Cd 3.11-3.25, 4 Hg 3.19-3.20, 2 In 3.43
Cd3 0.4039 0.4039 0.1903  5 In 3.08-3.36, 3 Hg 3.11-3.31, 2 Cd 3.25
Cd4 0.5961 0.5961 0.8097  5 In 3.08-3.36, 3 Hg 3.11-3.31, 2 Cd 3.25
Cd5 0.7496 0.2504 0.0000  6 Cd 3.11-3.25, 4 Hg 3.19-3.20, 2 In 3.43
Cd6 0.9037 0.9037 0.7123  5 In 3.06-3.41, 3 Hg 3.11-3.28, 2 Cd 3.22
In1 0.0534 0.5527 0.8955  5 In 3.11-3.31, 3 Cd 3.26-3.43, 2 Hg 3.28-3.31
In2 0.1950 0.1950 0.6059  1 Hg 3.06, 1 Cd 3.06, 5 In 3.11-3.30
In3 0.2504 0.7496 0.5000  2 In 3.11-3.12, 4 Hg 3.34-3.38, 4 Cd 3.36-3.41
In4 0.3020 0.3020 0.3991  1 Hg 3.07, 1 Cd 3.08, 5 In 3.11-3.31
In5 0.4473 0.9466 0.1045  5 In 3.11-3.31, 3 Cd 3.26-3.43, 2 Hg 3.28-3.31
In6 0.5527 0.0534 0.8955  5 In 3.11-3.31, 3 Cd 3.26-3.43, 2 Hg 3.28-3.31
In7 0.6980 0.6980 0.6009  1 Hg 3.07, 1 Cd 3.08, 5 In 3.11-3.31
In8 0.7496 0.2504 0.5000  2 In 3.11-3.12, 4 Hg 3.34-3.38, 4 Cd 3.36-3.41
In9 0.8050 0.8050 0.3941  1 Hg 3.06, 1 Cd 3.06, 5 In 3.11-3.30
In10 0.9466 0.4473 0.1045  5 In 3.11-3.31, 3 Cd 3.26-3.43, 2 Hg 3.28-3.31
Hg1 0.0920 0.0920 0.8094  5 In 3.06-3.34, 5 Cd 3.11-3.28
Hg2 0.4063 0.4063 0.7138  5 In 3.07-3.38, 5 Cd 3.11-3.31
Hg3 0.5937 0.5937 0.2862  5 In 3.07-3.38, 5 Cd 3.11-3.31
Hg4 0.9080 0.9080 0.1906  5 In 3.06-3.34, 5 Cd 3.11-3.28

Calculated values
Uncorrected energy, eV/atom: -1.6727
Energy of formation from the pure elements, eV/atom: 0.031
Space-group type: C2/m (12)
Offset from the most stable computed form, meV/atom: 0.0
Crystal system: monoclinic

***

Here is a relaxed structure of CdIn2Hg from the Alexandria database. Energies are from PBE-GGA.

abc: 6.1204 6.1204 6.1204
angles: 143.76 129.01 64.16
With the nearest neighbours (Å) after each atom.
Element x y z (fractional)
Cd1 0.0000 0.0000 0.0000  2 Hg 3.12, 6 In 3.22-3.25
In1 0.4896 0.4896 0.0000  2 Hg 3.22, 4 Cd 3.25, 2 In 3.30
In2 0.7500 0.2500 0.5000  2 Cd 3.22, 4 Hg 3.25, 2 In 3.30
Hg1 0.2389 0.7389 0.5000  2 Cd 3.12, 6 In 3.22-3.25

Calculated values
Uncorrected energy, eV/atom: -1.6366
Energy of formation from the pure elements, eV/atom: 0.037
Space-group type: Imm2 (44)
Offset from the most stable computed form, meV/atom: 30.7
Crystal system: orthorhombic

***

Here is a relaxed structure of Cd10InHg6 from the Alexandria database. Energies are from PBE-GGA.

abc: 8.6266 8.6266 6.4764
angles: 90.00 90.00 120.00
With the nearest neighbours (Å) after each atom.
Element x y z (fractional)
Cd1 0.0000 0.2976 0.3282  4 Hg 2.98-3.14, 2 Cd 3.24, 1 In 3.33
Cd2 0.0000 0.7024 0.6718  4 Hg 2.98-3.14, 2 Cd 3.24, 1 In 3.33
Cd3 0.2976 0.0000 0.3282  4 Hg 2.98-3.14, 2 Cd 3.24, 1 In 3.33
Cd4 0.2976 0.2976 0.6718  4 Hg 2.98-3.14, 2 Cd 3.24, 1 In 3.33
Cd5 0.3333 0.6667 0.0000  6 Hg 3.05, 2 Cd 3.24
Cd6 0.3333 0.6667 0.5000  8 Cd 3.24, 6 Hg 3.42
Cd7 0.6667 0.3333 0.0000  6 Hg 3.05, 2 Cd 3.24
Cd8 0.6667 0.3333 0.5000  8 Cd 3.24, 6 Hg 3.42
Cd9 0.7024 0.0000 0.6718  4 Hg 2.98-3.14, 2 Cd 3.24, 1 In 3.33
Cd10 0.7024 0.7024 0.3282  4 Hg 2.98-3.14, 2 Cd 3.24, 1 In 3.33
In1 0.0000 0.0000 0.0000  6 Hg 3.32, 6 Cd 3.33
Hg1 0.0000 0.3559 0.8062  6 Cd 2.98-3.14, 1 In 3.32
Hg2 0.0000 0.6441 0.1938  6 Cd 2.98-3.14, 1 In 3.32
Hg3 0.3559 0.0000 0.8062  6 Cd 2.98-3.14, 1 In 3.32
Hg4 0.3559 0.3559 0.1938  6 Cd 2.98-3.14, 1 In 3.32
Hg5 0.6441 0.0000 0.1938  6 Cd 2.98-3.14, 1 In 3.32
Hg6 0.6441 0.6441 0.8062  6 Cd 2.98-3.14, 1 In 3.32

Calculated values
Uncorrected energy, eV/atom: -0.7628
Energy of formation from the pure elements, eV/atom: 0.043
Space-group type: P-31m (162)
Crystal system: trigonal

***

Here is a relaxed structure of CdIn7Hg6 from the Alexandria database. Energies are from PBE-GGA.

abc: 12.7410 12.7410 12.7410
angles: 152.66 62.93 124.53
With the nearest neighbours (Å) after each atom.
Element x y z (fractional)
Cd1 0.2500 0.2500 0.0000  2 In 3.01, 4 Hg 3.31
Cd2 0.7500 0.7500 0.0000  2 In 3.01, 4 Hg 3.31
In1 0.0343 0.7553 0.7896  4 Hg 3.04-3.32, 1 In 3.30, 2 Cd 3.39
In2 0.0988 0.0257 0.3823  4 In 3.06-3.24, 4 Hg 3.11-3.36
In3 0.1434 0.5257 0.9269  4 In 3.06-3.24, 4 Hg 3.11-3.36
In4 0.2500 0.7500 0.5000  2 Cd 3.01, 4 Hg 3.25
In5 0.3566 0.2834 0.3823  4 In 3.06-3.24, 4 Hg 3.11-3.36
In6 0.4012 0.7834 0.9269  4 In 3.06-3.24, 4 Hg 3.11-3.36
In7 0.4657 0.2553 0.7210  4 Hg 3.04-3.32, 1 In 3.30, 2 Cd 3.39
In8 0.5343 0.7447 0.2790  4 Hg 3.04-3.32, 1 In 3.30, 2 Cd 3.39
In9 0.5988 0.2166 0.0731  4 In 3.06-3.24, 4 Hg 3.11-3.36
In10 0.6434 0.7166 0.6177  4 In 3.06-3.24, 4 Hg 3.11-3.36
In11 0.7500 0.2500 0.5000  2 Cd 3.01, 4 Hg 3.25
In12 0.8566 0.4743 0.0731  4 In 3.06-3.24, 4 Hg 3.11-3.36
In13 0.9012 0.9743 0.6177  4 In 3.06-3.24, 4 Hg 3.11-3.36
In14 0.9657 0.2447 0.2104  4 Hg 3.04-3.32, 1 In 3.30, 2 Cd 3.39
Hg1 0.0584 0.4494 0.1317  5 In 3.05-3.36, 1 Hg 3.23, 1 Cd 3.31
Hg2 0.1054 0.2674 0.3728  4 In 3.04-3.32
Hg3 0.1823 0.0506 0.6090  5 In 3.05-3.36, 1 Hg 3.23, 1 Cd 3.31
Hg4 0.3177 0.9266 0.8683  5 In 3.05-3.36, 1 Hg 3.23, 1 Cd 3.31
Hg5 0.3946 0.7674 0.1620  4 In 3.04-3.32
Hg6 0.4416 0.5734 0.3910  5 In 3.05-3.36, 1 Hg 3.23, 1 Cd 3.31
Hg7 0.5584 0.4266 0.6090  5 In 3.05-3.36, 1 Hg 3.23, 1 Cd 3.31
Hg8 0.6054 0.2326 0.8380  4 In 3.04-3.32
Hg9 0.6823 0.0734 0.1317  5 In 3.05-3.36, 1 Hg 3.23, 1 Cd 3.31
Hg10 0.8177 0.9494 0.3910  5 In 3.05-3.36, 1 Hg 3.23, 1 Cd 3.31
Hg11 0.8946 0.7326 0.6272  4 In 3.04-3.32
Hg12 0.9416 0.5506 0.8683  5 In 3.05-3.36, 1 Hg 3.23, 1 Cd 3.31

Calculated values
Uncorrected energy, eV/atom: -1.5217
Energy of formation from the pure elements, eV/atom: 0.042
Space-group type: Ibam (72)
Crystal system: orthorhombic

***

Here is a relaxed structure of Cd5In2Hg6 from the Alexandria database. Energies are from PBE-GGA.

abc: 11.7136 13.0312 4.3772
angles: 90.00 90.00 90.00
With the nearest neighbours (Å) after each atom.
Element x y z (fractional)
Cd1 0.0000 0.0000 0.0000  6 Hg 2.98-3.12, 2 Cd 3.14
Cd2 0.0794 0.2301 0.0000  5 Hg 3.09-3.14, 2 Cd 3.14-3.46, 2 In 3.32
Cd3 0.1247 0.5785 0.0000  7 Hg 3.06-3.29, 2 In 3.16
Cd4 0.3753 0.0785 0.0000  7 Hg 3.06-3.29, 2 In 3.16
Cd5 0.4206 0.7301 0.0000  5 Hg 3.09-3.14, 2 Cd 3.14-3.46, 2 In 3.32
Cd6 0.5000 0.5000 0.0000  6 Hg 2.98-3.12, 2 Cd 3.14
Cd7 0.5794 0.2699 0.0000  5 Hg 3.09-3.14, 2 Cd 3.14-3.46, 2 In 3.32
Cd8 0.6247 0.9215 0.0000  7 Hg 3.06-3.29, 2 In 3.16
Cd9 0.8753 0.4215 0.0000  7 Hg 3.06-3.29, 2 In 3.16
Cd10 0.9206 0.7699 0.0000  5 Hg 3.09-3.14, 2 Cd 3.14-3.46, 2 In 3.32
In1 0.1325 0.7532 0.5000  4 Hg 3.00-3.25, 4 Cd 3.16-3.32
In2 0.3675 0.2532 0.5000  4 Hg 3.00-3.25, 4 Cd 3.16-3.32
In3 0.6325 0.7468 0.5000  4 Hg 3.00-3.25, 4 Cd 3.16-3.32
In4 0.8675 0.2468 0.5000  4 Hg 3.00-3.25, 4 Cd 3.16-3.32
Hg1 0.0834 0.4029 0.5000  6 Cd 3.14-3.28, 3 Hg 3.16-3.20, 1 In 3.25
Hg2 0.1659 0.0822 0.5000  6 Cd 3.09-3.29, 1 In 3.25, 2 Hg 3.41
Hg3 0.2223 0.8885 0.0000  3 Cd 2.98-3.11, 2 In 3.00, 2 Hg 3.16
Hg4 0.2777 0.3885 0.0000  3 Cd 2.98-3.11, 2 In 3.00, 2 Hg 3.16
Hg5 0.3341 0.5822 0.5000  6 Cd 3.09-3.29, 1 In 3.25, 2 Hg 3.41
Hg6 0.4166 0.9029 0.5000  6 Cd 3.14-3.28, 3 Hg 3.16-3.20, 1 In 3.25
Hg7 0.5834 0.0971 0.5000  6 Cd 3.14-3.28, 3 Hg 3.16-3.20, 1 In 3.25
Hg8 0.6659 0.4178 0.5000  6 Cd 3.09-3.29, 1 In 3.25, 2 Hg 3.41
Hg9 0.7223 0.6115 0.0000  3 Cd 2.98-3.11, 2 In 3.00, 2 Hg 3.16
Hg10 0.7777 0.1115 0.0000  3 Cd 2.98-3.11, 2 In 3.00, 2 Hg 3.16
Hg11 0.8341 0.9178 0.5000  6 Cd 3.09-3.29, 1 In 3.25, 2 Hg 3.41
Hg12 0.9166 0.5971 0.5000  6 Cd 3.14-3.28, 3 Hg 3.16-3.20, 1 In 3.25

Calculated values
Uncorrected energy, eV/atom: -0.8771
Energy of formation from the pure elements, eV/atom: 0.035
Space-group type: Pbam (55)
Crystal system: orthorhombic